# 1
# Ta6TiW5

A geometry-optimized Ta6TiW5 structure (GGA-PBE, Alexandria).

a = 4.584 Å, b = 7.959 Å, c = 7.959 Å
α = 120.10°, β = 106.69°, γ = 106.69°
Atoms (fractional coordinates):
Ta  0.748  0.580  0.916
Ti  0.000  0.000  0.000
W  0.500  0.163  0.837
W  0.500  0.500  0.500
W  0.000  0.667  0.333
Ta  0.252  0.420  0.084
W  0.500  0.837  0.163
Ta  0.252  0.084  0.420
W  0.000  0.333  0.667
Ta  0.247  0.746  0.746
Ta  0.748  0.916  0.580
Ta  0.753  0.254  0.254

Computed properties:
* ΔH_f (0 K): -0.085 eV/atom
* theoretical density: 16.59 Mg/m³
* DOS at the Fermi energy: 0.96 states/eV per atom



# 2
# Ta2Ti3W4

A geometry-optimized Ta2Ti3W4 structure (GGA-PBE, Alexandria).

a = 4.797 Å, b = 8.088 Å, c = 8.088 Å
α = 76.64°, β = 90.00°, γ = 90.00°
Atoms (fractional coordinates):
Ti  0.500  0.834  0.966
W  0.000  0.156  0.527
Ti  0.750  0.500  0.500
W  0.500  0.527  0.156
Ta  0.500  0.182  0.360
Ti  0.500  0.166  0.034
Ti  0.000  0.966  0.834
W  0.000  0.296  0.830
Ti  0.000  0.034  0.166
W  0.500  0.170  0.704
W  0.000  0.704  0.170
Ta  0.000  0.640  0.818
Ta  0.000  0.360  0.182
Ta  0.500  0.818  0.640
W  0.000  0.844  0.473
W  0.500  0.830  0.296
W  0.500  0.473  0.844
Ti  0.250  0.500  0.500

Computed properties:
* ΔH_f (0 K): 0.133 eV/atom
* theoretical density: 13.50 Mg/m³
* DOS at the Fermi energy: 1.05 states/eV per atom



# 3
# TaTiW6

A geometry-optimized TaTiW6 structure (GGA-PBE, Alexandria).

a = 4.506 Å, b = 5.533 Å, c = 5.533 Å
α = 109.55°, β = 90.00°, γ = 90.00°
Atoms (fractional coordinates):
W  0.000  0.625  0.375
Ta  0.500  0.374  0.626
W  0.000  0.628  0.878
W  0.000  0.122  0.372
W  0.500  0.873  0.624
Ti  0.000  0.125  0.875
W  0.500  0.876  0.124
W  0.500  0.376  0.127

Computed properties:
* ΔH_f (0 K): -0.084 eV/atom
* theoretical density: 17.01 Mg/m³
* DOS at the Fermi energy: 0.52 states/eV per atom



# 4
# TaTiW2

A geometry-optimized TaTiW2 structure (GGA-PBE, Alexandria).

a = 7.236 Å, b = 7.236 Å, c = 5.799 Å
α = 51.40°, β = 51.40°, γ = 90.00°
Atoms (fractional coordinates):
Ta  0.750  0.250  0.500
W  0.621  0.125  0.250
Ta  0.000  0.000  0.000
W  0.129  0.625  0.250
Ti  0.500  0.500  0.000
Ti  0.250  0.750  0.500
W  0.375  0.379  0.750
W  0.875  0.871  0.750

Computed properties:
* ΔH_f (0 K): 0.784 eV/atom
* theoretical density: 13.86 Mg/m³
* DOS at the Fermi energy: 1.11 states/eV per atom



# 5
# Ta2TiW4

A geometry-optimized Ta2TiW4 structure (GGA-PBE, Alexandria).

a = 3.141 Å, b = 3.133 Å, c = 12.397 Å
α = 90.00°, β = 97.28°, γ = 90.00°
Atoms (fractional coordinates):
W  0.067  0.500  0.135
W  0.933  0.500  0.865
Ti  0.500  0.000  0.000
Ta  0.201  0.500  0.403
W  0.630  0.000  0.260
Ta  0.799  0.500  0.597
W  0.370  0.000  0.740

Computed properties:
* ΔH_f (0 K): 0.210 eV/atom
* theoretical density: 15.71 Mg/m³
* DOS at the Fermi energy: 0.81 states/eV per atom



# 6
# TaTi2W2

A geometry-optimized TaTi2W2 structure (GGA-PBE, Alexandria).

a = 5.023 Å, b = 7.445 Å, c = 6.105 Å
α = 107.01°, β = 65.71°, γ = 70.28°
Atoms (fractional coordinates):
W  0.716  0.552  0.253
Ta  0.881  0.250  0.750
Ti  0.673  0.655  0.747
Ti  0.327  0.345  0.253
Ta  0.119  0.750  0.250
W  0.284  0.448  0.747
W  0.479  0.052  0.753
Ti  0.075  0.845  0.753
Ti  0.925  0.155  0.247
W  0.521  0.948  0.247

Computed properties:
* ΔH_f (0 K): 0.158 eV/atom
* theoretical density: 12.64 Mg/m³
* DOS at the Fermi energy: 1.26 states/eV per atom



# 7
# TaTiW2

A geometry-optimized TaTiW2 structure (GGA-PBE, Alexandria).

a = 3.486 Å, b = 3.144 Å, c = 6.498 Å
α = 104.00°, β = 90.00°, γ = 90.00°
Atoms (fractional coordinates):
Ta  0.000  0.067  0.133
W  0.500  0.699  0.399
Ti  0.000  0.305  0.611
W  0.500  0.454  0.908

Computed properties:
* ΔH_f (0 K): 0.378 eV/atom
* theoretical density: 14.33 Mg/m³
* DOS at the Fermi energy: 1.04 states/eV per atom



# 8
# TaTiW2

A geometry-optimized TaTiW2 structure (GGA-PBE, Alexandria).

a = 6.008 Å, b = 6.008 Å, c = 6.008 Å
α = 56.00°, β = 153.58°, γ = 131.58°
Atoms (fractional coordinates):
Ta  0.000  0.500  0.500
Ti  0.000  0.000  0.000
W  0.000  0.753  0.753
W  0.000  0.247  0.247

Computed properties:
* ΔH_f (0 K): 0.754 eV/atom
* theoretical density: 13.80 Mg/m³
* DOS at the Fermi energy: 0.87 states/eV per atom



# 9
# TaTiW14

A geometry-optimized TaTiW14 structure (GGA-PBE, Alexandria).

a = 5.520 Å, b = 5.520 Å, c = 9.034 Å
α = 90.00°, β = 90.00°, γ = 109.55°
Atoms (fractional coordinates):
Ti  0.125  0.875  0.500
Ta  0.625  0.375  0.500
W  0.876  0.626  0.247
W  0.876  0.626  0.753
W  0.625  0.375  0.000
W  0.625  0.875  0.000
W  0.876  0.124  0.750
W  0.374  0.626  0.750
W  0.374  0.124  0.753
W  0.125  0.875  0.000
W  0.125  0.375  0.000
W  0.876  0.124  0.250
W  0.374  0.626  0.250
W  0.125  0.375  0.500
W  0.625  0.875  0.500
W  0.374  0.124  0.247

Computed properties:
* ΔH_f (0 K): -0.069 eV/atom
* theoretical density: 17.94 Mg/m³
* DOS at the Fermi energy: 0.36 states/eV per atom



# 10
# TaTi2W

A geometry-optimized TaTi2W structure (GGA-PBE, Alexandria).

a = 3.162 Å, b = 3.162 Å, c = 6.731 Å
α = 90.00°, β = 90.00°, γ = 90.00°
Atoms (fractional coordinates):
Ti  0.000  0.000  0.769
Ta  0.500  0.500  0.500
Ti  0.000  0.000  0.231
W  0.500  0.500  0.000

Computed properties:
* ΔH_f (0 K): 0.080 eV/atom
* theoretical density: 11.36 Mg/m³
* DOS at the Fermi energy: 1.65 states/eV per atom
* energy above the most stable polymorph in this dataset: 0.173 eV/f.u.



# 11
# Ta4Ti2W

A geometry-optimized Ta4Ti2W structure (GGA-PBE, Alexandria).

a = 2.846 Å, b = 7.130 Å, c = 7.303 Å
α = 59.08°, β = 75.46°, γ = 82.30°
Atoms (fractional coordinates):
W  0.000  0.000  0.000
Ta  0.265  0.422  0.862
Ti  0.491  0.141  0.275
Ta  0.129  0.719  0.428
Ta  0.871  0.281  0.572
Ti  0.509  0.859  0.725
Ta  0.735  0.578  0.138

Computed properties:
* ΔH_f (0 K): 0.009 eV/atom
* theoretical density: 13.54 Mg/m³
* DOS at the Fermi energy: 1.33 states/eV per atom



# 12
# YTaTi2

A geometry-optimized YTaTi2 structure (GGA-PBE, Alexandria).

a = 3.478 Å, b = 3.478 Å, c = 6.896 Å
α = 90.00°, β = 90.00°, γ = 90.00°
Atoms (fractional coordinates):
Ti  0.000  0.000  0.196
Y  0.500  0.500  0.500
Ta  0.500  0.500  0.000
Ti  0.000  0.000  0.804

Computed properties:
* ΔH_f (0 K): 0.132 eV/atom
* theoretical density: 7.28 Mg/m³
* DOS at the Fermi energy: 1.66 states/eV per atom
* energy above the most stable polymorph in this dataset: 0.000 eV/f.u.